Ni | the Alexandria database | GGA-PBEsol | optimized geometry; E_form = 16 meV/atom; E above lowest polymorph = 0.0161 eV per atom; D(E_F) = 5.2 states/eV per cell; SG = R-3m; uncorrected energy = -6.14 eV/atom
1.0
1.223 0.706 6.008
-1.223 0.706 6.008
0.000 -1.412 6.008
Ni
3
Direct
0.000 0.000 0.000
0.222 0.222 0.222
0.778 0.778 0.778